A relaxed structure of CdCuBO4. Source: Alexandria, functional PBE.

Properties
The calculation puts the energy relative to the elements, uncorrected at -1.162 eV/atom.

Cell: 5.2079 5.2079 6.0537 Å, 90.00 90.00 112.75°
With the nearest neighbours (Å) after each atom.
Sites, in units of the cell vectors:
1 Cd 0.5000 0.5000 0.5000  6 O 2.29-2.38
2 Cd 0.5000 0.5000 0.0000  6 O 2.29-2.38
3 Cu 0.8360 0.1640 0.2500  4 O 1.89-2.01
4 Cu 0.1640 0.8360 0.7500  4 O 1.89-2.01
5 B 0.1335 0.8665 0.2500  4 O 1.47-1.51
6 B 0.8665 0.1335 0.7500  4 O 1.47-1.51
7 O 0.1799 0.2280 0.7500  1 B 1.51
8 O 0.7720 0.8201 0.7500  1 B 1.51
9 O 0.7724 0.2276 0.9510  1 B 1.47
10 O 0.7724 0.2276 0.5490  1 B 1.47
11 O 0.2276 0.7724 0.0490  1 B 1.47
12 O 0.2276 0.7724 0.4510  1 B 1.47
13 O 0.8201 0.7720 0.2500  1 B 1.51
14 O 0.2280 0.1799 0.2500  1 B 1.51

A relaxed structure of CdCu2BPb. Source: Alexandria, functional PBE.

Properties
For the formation energy from the elements, the calculation gives 130 kJ per mole of atoms.

Cell: 4.8770 4.4984 4.8770 Å, 90.00 90.00 90.00°
With the nearest neighbours (Å) after each atom.
Sites, in units of the cell vectors:
1 Pb 0.0000 0.0000 0.0000  2 B 2.25, 4 Cu 2.44
2 B 0.0000 0.5000 0.0000  2 Pb 2.25
3 Cu 0.0000 0.0000 0.5000  2 Pb 2.44
4 Cu 0.5000 0.0000 0.0000  2 Pb 2.44
5 Cd 0.5000 0.5000 0.5000  8 Cu 3.32, 4 B 3.45

A relaxed structure of Cd2Cu2BPd4. Source: Alexandria, functional PBE.

Properties
For the formation energy from the elements, the calculation gives -26 kJ per mole of atoms.

Cell: 5.7267 5.7267 5.7267 Å, 90.85 119.51 119.51°
With the nearest neighbours (Å) after each atom.
Sites, in units of the cell vectors:
1 Cd 0.5000 0.7500 0.2500  8 Pd 2.86, 4 Cu 2.89
2 Cd 0.5000 0.2500 0.7500  8 Pd 2.86, 4 Cu 2.89
3 Cu 0.0000 0.7385 0.7385  1 B 2.10
4 Cu 0.0000 0.2615 0.2615  1 B 2.10
5 B 0.0000 0.0000 0.0000  4 Pd 2.08, 2 Cu 2.10
6 Pd 0.0000 0.7452 0.2548  1 B 2.08
7 Pd 0.4905 0.7452 0.7452  1 B 2.08
8 Pd 0.0000 0.2548 0.7452  1 B 2.08
9 Pd 0.5095 0.2548 0.2548  1 B 2.08

A relaxed structure of CdCuBPt2. Source: Alexandria, functional PBE.

Properties
For the formation energy from the elements, the calculation gives -16 kJ per mole of atoms.

Cell: 4.2151 4.2151 4.1388 Å, 90.00 90.00 90.00°
With the nearest neighbours (Å) after each atom.
Sites, in units of the cell vectors:
1 B 0.0000 0.0000 0.0000  2 Cu 2.07, 4 Pt 2.11
2 Cu 0.0000 0.0000 0.5000  2 B 2.07
3 Pt 0.0000 0.5000 0.0000  2 B 2.11
4 Pt 0.5000 0.0000 0.0000  2 B 2.11
5 Cd 0.5000 0.5000 0.5000  8 Pt 2.95, 4 Cu 2.98

Table of volume (Å³/f.u.), in record order: 75.7; 107.0; 133.8; 73.5
Table of VASP energy (eV per atom), in record order: -5.66; -2.55; -4.43; -4.92
Table of spin magnetization (μB/f.u.), in record order: 2.030; 0.000; 0.000; 0.000